The following is a DFT calculation (PBE) of a geometry-optimized SmLuPuSc structure.

Values from the calculation:
* total magnetization: 1.4650 μB per atom
* formation energy: 0.172 eV/atom

a b c (Å): 7.7155 7.7155 7.7155
angles (deg): 90.00 90.00 90.00
Space group F-43m (No. 216)
Unique sites:
Sm 0.0000 0.0000 0.0000 x4
Lu 0.2500 0.2500 0.7500 x4
Pu 0.0000 0.0000 0.5000 x4
Sc 0.2500 0.2500 0.2500 x4

The following is a DFT calculation (PBE) of a geometry-optimized KInOs2 structure.

Values from the calculation:
* total magnetization: 0.0000 μB per atom
* formation energy: 0.609 eV/atom

a b c (Å): 8.3109 2.8295 8.1471
angles (deg): 90.00 94.96 90.00
Space group Cm (No. 8)
Unique sites:
K 0.0000 0.0000 0.0000 x2
In 0.2659 0.5000 0.3537 x2
Os 0.2379 0.0000 0.6872 x2
Os 0.4969 0.0000 0.5797 x2

The following is a DFT calculation (PBE) of a geometry-optimized Rb3Th3RhS8 structure.

Values from the calculation:
* total magnetization: 0.1339 μB per atom
* uncorrected formation energy: -2127 kJ/mol of formula units

a b c (Å): 8.1973 8.1973 23.4337
angles (deg): 90.00 90.00 120.00
Space group R-3m (No. 166, hexagonal axes)
Unique sites:
Rb 0.0000 0.5000 0.0000 x9
Th 0.0000 0.5000 0.5000 x9
Rh 0.0000 0.0000 0.5000 x3
S 0.0000 0.0000 0.2340 x6
S 0.0017 0.5008 0.2283 x18

The following is a DFT calculation (PBE) of a geometry-optimized Lu2PuMn structure.

Values from the calculation:
* total magnetization: 0.9555 μB per atom
* formation energy: 0.162 eV/atom

a b c (Å): 3.3580 3.3580 8.6904
angles (deg): 90.00 90.00 90.00
Space group P4/mmm (No. 123)
Unique sites:
Lu 0.0000 0.0000 0.1988 x2
Pu 0.5000 0.5000 0.5000 x1
Mn 0.5000 0.5000 0.0000 x1

The following is a DFT calculation (PBE) of a geometry-optimized SmMg2Tl2Cd2 structure.

Values from the calculation:
* total magnetization: 0.0000 μB per atom
* formation energy: -0.150 eV/atom

a b c (Å): 8.6088 4.8526 8.7025
angles (deg): 90.00 107.90 90.00
Space group C2/m (No. 12)
Unique sites:
Sm 0.0000 0.0000 0.0000 x2
Mg 0.1390 0.0000 0.4186 x4
Tl 0.2280 0.5000 0.1889 x4
Cd 0.0652 0.5000 0.6899 x4

The following is a DFT calculation (PBE) of a geometry-optimized PmHf2F11 structure.

Values from the calculation:
* total magnetization: 0.0000 μB per atom
* uncorrected formation energy: -5304 kJ/mol of formula units

a b c (Å): 7.7745 10.0197 10.9327
angles (deg): 90.00 90.00 90.00
Space group Ibam (No. 72)
Unique sites:
Pm 0.0000 0.0000 0.2500 x4
Hf 0.1349 0.3187 0.0000 x8
F 0.0000 0.5000 0.0000 x4
F 0.1018 0.1840 0.1368 x16
F 0.1294 0.2815 0.5000 x8
F 0.2350 0.0766 0.3699 x16

The following is a DFT calculation (PBE) of a geometry-optimized TbCeGaSi structure.

Values from the calculation:
* total magnetization: 0.2339 μB per atom
* uncorrected formation energy: -185 kJ/mol of formula units

a b c (Å): 7.1707 7.1707 7.1707
angles (deg): 90.00 90.00 90.00
Space group F-43m (No. 216)
Unique sites:
Tb 0.0000 0.0000 0.0000 x4
Ce 0.0000 0.0000 0.5000 x4
Ga 0.2500 0.2500 0.7500 x4
Si 0.2500 0.2500 0.2500 x4

The following is a DFT calculation (PBE) of a geometry-optimized Y2TlCrRe structure.

Values from the calculation:
* total magnetization: 1.0190 μB per atom
* formation energy: 0.757 eV/atom

a b c (Å): 5.3207 5.3207 5.3598
angles (deg): 90.00 90.00 90.00
Space group P4/mmm (No. 123)
Unique sites:
Y 0.0000 0.5000 0.0000 x2
Tl 0.0000 0.0000 0.5000 x1
Cr 0.5000 0.5000 0.5000 x1
Re 0.0000 0.0000 0.0000 x1